No. 1
Here is Mn2TlRe after structural relaxation from Alexandria. Energies are from GGA-PBEsol.

The structure in CIF format:
```
data_Mn2TlRe
_chemical_formula_sum 'Mn4 Tl2 Re2'
_cell_length_a 5.554
_cell_length_b 7.355
_cell_length_c 2.843
_cell_angle_alpha 90.00
_cell_angle_beta 90.00
_cell_angle_gamma 90.00
_space_group_name_H-M_alt 'P 1'
_space_group_IT_number 1
loop_
_space_group_symop_operation_xyz
'x,y,z'
loop_
_atom_site_label
_atom_site_fract_x
_atom_site_fract_y
_atom_site_fract_z
_atom_site_occupancy
Mn1 0.250 0.250 0.000 1
Mn2 0.250 0.750 0.000 1
Mn3 0.750 0.250 0.000 1
Mn4 0.750 0.750 0.000 1
Tl1 0.000 0.000 0.500 1
Tl2 0.500 0.500 0.500 1
Re1 0.000 0.500 0.500 1
Re2 0.500 0.000 0.500 1
```

Summary:
energy of formation = 0.607 eV/atom
calculated volume = 116.2 Å³ per cell
energy = -66.1 eV per cell

No. 2
Here is MnTlRe after structural relaxation from Alexandria. Energies are from GGA-PBEsol.

The structure in CIF format:
```
data_MnTlRe
_chemical_formula_sum 'Mn4 Tl4 Re4'
_cell_length_a 6.126
_cell_length_b 6.126
_cell_length_c 6.126
_cell_angle_alpha 90.00
_cell_angle_beta 90.00
_cell_angle_gamma 90.00
_space_group_name_H-M_alt 'P 1'
_space_group_IT_number 1
loop_
_space_group_symop_operation_xyz
'x,y,z'
loop_
_atom_site_label
_atom_site_fract_x
_atom_site_fract_y
_atom_site_fract_z
_atom_site_occupancy
Mn1 0.000 0.000 0.000 1
Mn2 0.000 0.500 0.500 1
Mn3 0.500 0.000 0.500 1
Mn4 0.500 0.500 0.000 1
Tl1 0.000 0.000 0.500 1
Tl2 0.000 0.500 0.000 1
Tl3 0.500 0.000 0.000 1
Tl4 0.500 0.500 0.500 1
Re1 0.250 0.250 0.250 1
Re2 0.250 0.750 0.750 1
Re3 0.750 0.250 0.750 1
Re4 0.750 0.750 0.250 1
```

Summary:
energy of formation = 1.259 eV/atom
calculated volume = 229.9 Å³ per cell
energy = -87.8 eV per cell

No. 3
Here is Mn2TlRe after structural relaxation from Alexandria. Energies are from GGA-PBEsol.

The structure in CIF format:
```
data_Mn2TlRe
_chemical_formula_sum 'Mn8 Tl4 Re4'
_cell_length_a 6.199
_cell_length_b 6.199
_cell_length_c 6.199
_cell_angle_alpha 90.00
_cell_angle_beta 90.00
_cell_angle_gamma 90.00
_space_group_name_H-M_alt 'P 1'
_space_group_IT_number 1
loop_
_space_group_symop_operation_xyz
'x,y,z'
loop_
_atom_site_label
_atom_site_fract_x
_atom_site_fract_y
_atom_site_fract_z
_atom_site_occupancy
Mn1 0.000 0.000 0.000 1
Mn2 0.000 0.500 0.500 1
Mn3 0.250 0.250 0.250 1
Mn4 0.250 0.750 0.750 1
Mn5 0.500 0.000 0.500 1
Mn6 0.500 0.500 0.000 1
Mn7 0.750 0.250 0.750 1
Mn8 0.750 0.750 0.250 1
Tl1 0.250 0.250 0.750 1
Tl2 0.250 0.750 0.250 1
Tl3 0.750 0.250 0.250 1
Tl4 0.750 0.750 0.750 1
Re1 0.000 0.000 0.500 1
Re2 0.000 0.500 0.000 1
Re3 0.500 0.000 0.000 1
Re4 0.500 0.500 0.500 1
```

Summary:
energy of formation = 0.745 eV/atom
calculated volume = 238.3 Å³ per cell
energy = -130.0 eV per cell

No. 4
Here is Mn4ReW after structural relaxation from Alexandria. Energies are from GGA-PBEsol.

The structure in CIF format:
```
data_Mn4ReW
_chemical_formula_sum 'Mn4 Re1 W1'
_cell_length_a 4.642
_cell_length_b 4.642
_cell_length_c 4.642
_cell_angle_alpha 60.00
_cell_angle_beta 60.00
_cell_angle_gamma 60.00
_space_group_name_H-M_alt 'P 1'
_space_group_IT_number 1
loop_
_space_group_symop_operation_xyz
'x,y,z'
loop_
_atom_site_label
_atom_site_fract_x
_atom_site_fract_y
_atom_site_fract_z
_atom_site_occupancy
Mn1 0.125 0.125 0.125 1
Mn2 0.125 0.125 0.624 1
Mn3 0.125 0.624 0.125 1
Mn4 0.624 0.125 0.125 1
Re1 0.750 0.750 0.750 1
W1 0.500 0.500 0.500 1
```

Summary:
energy of formation = -0.097 eV/atom
calculated volume = 70.7 Å³ per cell
energy = -66.8 eV per cell

No. 5
Here is MnRe3W after structural relaxation from Alexandria. Energies are from GGA-PBEsol.

The structure in CIF format:
```
data_MnRe3W
_chemical_formula_sum 'Mn1 Re3 W1'
_cell_length_a 4.329
_cell_length_b 4.329
_cell_length_c 4.329
_cell_angle_alpha 90.00
_cell_angle_beta 90.00
_cell_angle_gamma 90.00
_space_group_name_H-M_alt 'P 1'
_space_group_IT_number 1
loop_
_space_group_symop_operation_xyz
'x,y,z'
loop_
_atom_site_label
_atom_site_fract_x
_atom_site_fract_y
_atom_site_fract_z
_atom_site_occupancy
Mn1 0.000 0.000 0.000 1
Re1 0.000 0.000 0.500 1
Re2 0.000 0.500 0.000 1
Re3 0.500 0.000 0.000 1
W1 0.500 0.500 0.500 1
```

Summary:
energy of formation = 1.610 eV/atom
calculated volume = 81.1 Å³ per cell
energy = -55.5 eV per cell

No. 6
Here is MnRe2W after structural relaxation from Alexandria. Energies are from GGA-PBEsol.

The structure in CIF format:
```
data_MnRe2W
_chemical_formula_sum 'Mn1 Re2 W1'
_cell_length_a 2.649
_cell_length_b 4.287
_cell_length_c 5.095
_cell_angle_alpha 90.00
_cell_angle_beta 100.66
_cell_angle_gamma 90.00
_space_group_name_H-M_alt 'P 1'
_space_group_IT_number 1
loop_
_space_group_symop_operation_xyz
'x,y,z'
loop_
_atom_site_label
_atom_site_fract_x
_atom_site_fract_y
_atom_site_fract_z
_atom_site_occupancy
Mn1 0.000 0.000 0.000 1
Re1 0.427 0.000 0.499 1
Re2 0.702 0.500 0.247 1
W1 0.195 0.500 0.760 1
```

Summary:
energy of formation = 0.149 eV/atom
calculated volume = 56.9 Å³ per cell
energy = -49.6 eV per cell

No. 7
Here is MnRe2W after structural relaxation from Alexandria. Energies are from GGA-PBEsol.

The structure in CIF format:
```
data_MnRe2W
_chemical_formula_sum 'Mn1 Re2 W1'
_cell_length_a 4.282
_cell_length_b 4.282
_cell_length_c 3.118
_cell_angle_alpha 90.00
_cell_angle_beta 90.00
_cell_angle_gamma 90.00
_space_group_name_H-M_alt 'P 1'
_space_group_IT_number 1
loop_
_space_group_symop_operation_xyz
'x,y,z'
loop_
_atom_site_label
_atom_site_fract_x
_atom_site_fract_y
_atom_site_fract_z
_atom_site_occupancy
Mn1 0.000 0.000 0.000 1
Re1 0.000 0.500 0.500 1
Re2 0.500 0.000 0.500 1
W1 0.500 0.500 0.000 1
```

Summary:
energy of formation = 0.088 eV/atom
calculated volume = 57.2 Å³ per cell
energy = -49.9 eV per cell

No. 8
Here is Mn2ReW after structural relaxation from Alexandria. Energies are from GGA-PBEsol.

The structure in CIF format:
```
data_Mn2ReW
_chemical_formula_sum 'Mn2 Re1 W1'
_cell_length_a 3.022
_cell_length_b 3.022
_cell_length_c 5.752
_cell_angle_alpha 90.00
_cell_angle_beta 90.00
_cell_angle_gamma 90.00
_space_group_name_H-M_alt 'P 1'
_space_group_IT_number 1
loop_
_space_group_symop_operation_xyz
'x,y,z'
loop_
_atom_site_label
_atom_site_fract_x
_atom_site_fract_y
_atom_site_fract_z
_atom_site_occupancy
Mn1 0.000 0.000 0.000 1
Mn2 0.500 0.500 0.236 1
Re1 0.000 0.000 0.475 1
W1 0.500 0.500 0.762 1
```

Summary:
energy of formation = 0.116 eV/atom
calculated volume = 52.5 Å³ per cell
energy = -46.2 eV per cell

No. 9
Here is MnRe2W after structural relaxation from Alexandria. Energies are from GGA-PBEsol.

The structure in CIF format:
```
data_MnRe2W
_chemical_formula_sum 'Mn1 Re2 W1'
_cell_length_a 3.077
_cell_length_b 3.077
_cell_length_c 5.937
_cell_angle_alpha 90.00
_cell_angle_beta 90.00
_cell_angle_gamma 90.00
_space_group_name_H-M_alt 'P 1'
_space_group_IT_number 1
loop_
_space_group_symop_operation_xyz
'x,y,z'
loop_
_atom_site_label
_atom_site_fract_x
_atom_site_fract_y
_atom_site_fract_z
_atom_site_occupancy
Mn1 0.000 0.000 0.000 1
Re1 0.000 0.000 0.504 1
Re2 0.500 0.500 0.241 1
W1 0.500 0.500 0.777 1
```

Summary:
energy of formation = 0.161 eV/atom
calculated volume = 56.2 Å³ per cell
energy = -49.6 eV per cell

No. 10
Here is YMnRe3 after structural relaxation from Alexandria. Energies are from GGA-PBEsol.

The structure in CIF format:
```
data_YMnRe3
_chemical_formula_sum 'Y1 Mn1 Re3'
_cell_length_a 4.468
_cell_length_b 4.468
_cell_length_c 4.468
_cell_angle_alpha 90.00
_cell_angle_beta 90.00
_cell_angle_gamma 90.00
_space_group_name_H-M_alt 'P 1'
_space_group_IT_number 1
loop_
_space_group_symop_operation_xyz
'x,y,z'
loop_
_atom_site_label
_atom_site_fract_x
_atom_site_fract_y
_atom_site_fract_z
_atom_site_occupancy
Y1 0.000 0.000 0.000 1
Mn1 0.500 0.500 0.500 1
Re1 0.000 0.500 0.500 1
Re2 0.500 0.000 0.500 1
Re3 0.500 0.500 0.000 1
```

Summary:
energy of formation = 0.963 eV/atom
calculated volume = 89.2 Å³ per cell
energy = -51.8 eV per cell

No. 11
Here is YMn2Re2 after structural relaxation from Alexandria. Energies are from GGA-PBEsol.

The structure in CIF format:
```
data_YMn2Re2
_chemical_formula_sum 'Y2 Mn4 Re4'
_cell_length_a 4.072
_cell_length_b 4.072
_cell_length_c 9.955
_cell_angle_alpha 90.00
_cell_angle_beta 90.00
_cell_angle_gamma 90.00
_space_group_name_H-M_alt 'P 1'
_space_group_IT_number 1
loop_
_space_group_symop_operation_xyz
'x,y,z'
loop_
_atom_site_label
_atom_site_fract_x
_atom_site_fract_y
_atom_site_fract_z
_atom_site_occupancy
Y1 0.000 0.000 0.000 1
Y2 0.500 0.500 0.500 1
Mn1 0.000 0.500 0.250 1
Mn2 0.000 0.500 0.750 1
Mn3 0.500 0.000 0.250 1
Mn4 0.500 0.000 0.750 1
Re1 0.000 0.000 0.372 1
Re2 0.000 0.000 0.628 1
Re3 0.500 0.500 0.128 1
Re4 0.500 0.500 0.872 1
```

Summary:
energy of formation = 0.140 eV/atom
calculated volume = 165.1 Å³ per cell
energy = -104.6 eV per cell

No. 12
Here is MnZnRe2 after structural relaxation from Alexandria. Energies are from GGA-PBEsol.

The structure in CIF format:
```
data_MnZnRe2
_chemical_formula_sum 'Mn2 Zn2 Re4'
_cell_length_a 3.062
_cell_length_b 4.208
_cell_length_c 8.344
_cell_angle_alpha 90.00
_cell_angle_beta 90.00
_cell_angle_gamma 90.00
_space_group_name_H-M_alt 'P 1'
_space_group_IT_number 1
loop_
_space_group_symop_operation_xyz
'x,y,z'
loop_
_atom_site_label
_atom_site_fract_x
_atom_site_fract_y
_atom_site_fract_z
_atom_site_occupancy
Mn1 0.000 0.000 0.000 1
Mn2 0.500 0.500 0.500 1
Zn1 0.000 0.000 0.500 1
Zn2 0.500 0.500 0.000 1
Re1 0.000 0.500 0.257 1
Re2 0.000 0.500 0.743 1
Re3 0.500 0.000 0.243 1
Re4 0.500 0.000 0.757 1
```

Summary:
energy of formation = 0.196 eV/atom
calculated volume = 107.5 Å³ per cell
energy = -74.4 eV per cell

No. 13
Here is MnZnRe after structural relaxation from Alexandria. Energies are from GGA-PBEsol.

The structure in CIF format:
```
data_MnZnRe
_chemical_formula_sum 'Mn4 Zn4 Re4'
_cell_length_a 5.612
_cell_length_b 5.612
_cell_length_c 5.612
_cell_angle_alpha 90.00
_cell_angle_beta 90.00
_cell_angle_gamma 90.00
_space_group_name_H-M_alt 'P 1'
_space_group_IT_number 1
loop_
_space_group_symop_operation_xyz
'x,y,z'
loop_
_atom_site_label
_atom_site_fract_x
_atom_site_fract_y
_atom_site_fract_z
_atom_site_occupancy
Mn1 0.000 0.000 0.000 1
Mn2 0.000 0.500 0.500 1
Mn3 0.500 0.000 0.500 1
Mn4 0.500 0.500 0.000 1
Zn1 0.250 0.250 0.250 1
Zn2 0.250 0.750 0.750 1
Zn3 0.750 0.250 0.750 1
Zn4 0.750 0.750 0.250 1
Re1 0.250 0.250 0.750 1
Re2 0.250 0.750 0.250 1
Re3 0.750 0.250 0.250 1
Re4 0.750 0.750 0.750 1
```

Summary:
energy of formation = 0.543 eV/atom
calculated volume = 176.8 Å³ per cell
energy = -92.2 eV per cell

No. 14
Here is Mn2ZnRe after structural relaxation from Alexandria. Energies are from GGA-PBEsol.

The structure in CIF format:
```
data_Mn2ZnRe
_chemical_formula_sum 'Mn8 Zn4 Re4'
_cell_length_a 5.896
_cell_length_b 5.896
_cell_length_c 5.896
_cell_angle_alpha 90.00
_cell_angle_beta 90.00
_cell_angle_gamma 90.00
_space_group_name_H-M_alt 'P 1'
_space_group_IT_number 1
loop_
_space_group_symop_operation_xyz
'x,y,z'
loop_
_atom_site_label
_atom_site_fract_x
_atom_site_fract_y
_atom_site_fract_z
_atom_site_occupancy
Mn1 0.000 0.000 0.000 1
Mn2 0.000 0.500 0.500 1
Mn3 0.250 0.250 0.250 1
Mn4 0.250 0.750 0.750 1
Mn5 0.500 0.000 0.500 1
Mn6 0.500 0.500 0.000 1
Mn7 0.750 0.250 0.750 1
Mn8 0.750 0.750 0.250 1
Zn1 0.250 0.250 0.750 1
Zn2 0.250 0.750 0.250 1
Zn3 0.750 0.250 0.250 1
Zn4 0.750 0.750 0.750 1
Re1 0.000 0.000 0.500 1
Re2 0.000 0.500 0.000 1
Re3 0.500 0.000 0.000 1
Re4 0.500 0.500 0.500 1
```

Summary:
energy of formation = 0.257 eV/atom
calculated volume = 204.9 Å³ per cell
energy = -133.6 eV per cell